Entry 1:
Sm2CdF | PBE-GGA | optimized geometry

The energy relative to the elements, uncorrected is -1.22 eV per atom. For the total energy, the calculation gives -4.278 eV/atom.

The structure belongs to space group R-3m (No. 166, hexagonal axes); the cell edges are 3.8065, 3.8065 and 22.8495 Å and the angles 90.00°, 90.00° and 120.00°. Symmetry generates all atoms from Sm at (0.0000, 0.0000, 0.2280), Cd at (0.0000, 0.0000, 0.0000) and F at (0.0000, 0.0000, 0.5000).

=====

Entry 2:
CaHo3Os | PBE-GGA | optimized geometry

For the total energy, the calculation gives -5.482 eV/atom. The value obtained for the formation energy is -0.09 eV per atom.

The structure belongs to space group Pm-3m (No. 221); the cell edges are 5.443, 5.443 and 5.443 Å and the angles 90.00°, 90.00° and 90.00°. Symmetry generates all atoms from Ca at (0.000, 0.000, 0.000), Ho at (0.000, 0.500, 0.500) and Os at (0.500, 0.500, 0.500).

=====

Entry 3:
NdTiN3 | PBE-GGA | optimized geometry

The energy relative to the elements, uncorrected is -0.62 eV per atom. For the total energy, the calculation gives -8.150 eV/atom.

The structure belongs to space group P6_322 (No. 182); the cell edges are 5.7548, 5.7548 and 5.3276 Å and the angles 90.00°, 90.00° and 120.00°. Symmetry generates all atoms from Nd at (0.3333, 0.6667, 0.2500), Ti at (0.0000, 0.0000, 0.2500) and N at (0.0000, 0.2718, 0.5000).

=====

Entry 4:
PmEr2Ag3Se6 | PBE-GGA | optimized geometry

The energy relative to the elements, uncorrected is -1.18 eV per atom. For the total energy, the calculation gives -4.788 eV/atom.

The structure belongs to space group C2/m (No. 12); the cell edges are 16.207, 4.210 and 9.957 Å and the angles 90.00°, 106.39° and 90.00°. Symmetry generates all atoms from Pm at (0.000, 0.000, 0.000), Er at (0.164, 0.500, 0.336), Ag at (0.000, 0.000, 0.500), Ag at (0.174, 0.500, 0.958), Se at (0.013, 0.500, 0.798), Se at (0.158, 0.000, 0.523) and Se at (0.189, 0.000, 0.149).

=====

Entry 5:
NaDySn2Te4 | PBE-GGA | optimized geometry

The energy relative to the elements, uncorrected is -0.74 eV per atom. For the total energy, the calculation gives -4.051 eV/atom.

The structure belongs to space group P2/m (No. 10); the cell edges are 7.772, 4.483 and 7.847 Å and the angles 90.00°, 108.64° and 90.00°. Symmetry generates all atoms from Na at (0.000, 0.000, 0.000), Dy at (0.500, 0.500, 0.000), Sn at (0.000, 0.500, 0.500), Sn at (0.500, 0.000, 0.500), Te at (0.260, 0.500, 0.247) and Te at (0.261, 0.000, 0.758).

=====

Entry 6:
La4Ge2I3 | PBE-GGA | optimized geometry

The energy relative to the elements, uncorrected is -0.96 eV per atom. For the total energy, the calculation gives -4.694 eV/atom. The calculation puts the energy above the most stable polymorph in this dataset at 248 meV per atom.

The structure belongs to space group C2/c (No. 15); the cell edges are 16.260, 12.183 and 6.380 Å and the angles 90.00°, 91.58° and 90.00°. Symmetry generates all atoms from La at (0.116, 0.179, 0.016), La at (0.204, 0.390, 0.395), Ge at (0.209, 0.369, 0.869), I at (0.000, 0.373, 0.250) and I at (0.093, 0.107, 0.523).

=====

Entry 7:
CeHfMg6O8 | PBE-GGA | optimized geometry

The energy relative to the elements, uncorrected is -2.41 eV per atom. For the total energy, the calculation gives -6.477 eV/atom. The calculation puts the energy above the most stable polymorph in this dataset at 0 meV per atom.

The structure belongs to space group P4/mmm (No. 123); the cell edges are 4.481, 4.481 and 9.074 Å and the angles 90.00°, 90.00° and 90.00°. Symmetry generates all atoms from Ce at (0.000, 0.000, 0.000), Hf at (0.500, 0.500, 0.000), Mg at (0.000, 0.000, 0.500), Mg at (0.000, 0.500, 0.271), Mg at (0.500, 0.500, 0.500), O at (0.000, 0.000, 0.274), O at (0.000, 0.500, 0.000), O at (0.000, 0.500, 0.500) and O at (0.500, 0.500, 0.265).

=====

Entry 8:
DyAlCdCu | PBE-GGA | optimized geometry

For the total energy, the calculation gives -3.568 eV/atom. The value obtained for the formation energy is -0.23 eV per atom.

The structure belongs to space group F-43m (No. 216); the cell edges are 6.761, 6.761 and 6.761 Å and the angles 90.00°, 90.00° and 90.00°. Symmetry generates all atoms from Dy at (0.000, 0.000, 0.000), Al at (0.000, 0.000, 0.500), Cd at (0.250, 0.250, 0.250) and Cu at (0.250, 0.250, 0.750).

=====

Entry 9:
LiEuCuGe | PBE-GGA | optimized geometry

For the total energy, the calculation gives -5.523 eV/atom. The value obtained for the formation energy is -0.30 eV per atom.

The structure belongs to space group F-43m (No. 216); the cell edges are 6.604, 6.604 and 6.604 Å and the angles 90.00°, 90.00° and 90.00°. Symmetry generates all atoms from Li at (0.000, 0.000, 0.000), Eu at (0.250, 0.250, 0.250), Cu at (0.000, 0.000, 0.500) and Ge at (0.250, 0.250, 0.750).